Computed, not measured: a relaxed structure of BaLuCu at the PBE level of DFT.

magnetic moment: 0.04 μB per formula unit
crystal system: cubic
E: -3.08 eV per atom
volume: 32.638 Å³ per atom
polymorph energy (0 for the lowest one): 0 kJ/mol of formula units

Lattice parameters (Å, degrees): 7.316 7.316 7.316 90.00 90.00 90.00
Space group F-43m (No. 216)
One atom of each set of equivalent atoms:
Ba: 0.000 0.000 0.000 x4
Lu: 0.000 0.000 0.500 x4
Cu: 0.250 0.250 0.250 x4